(1)
Computed, not measured: an optimized crystal structure of Si2AgBC at the PBE-GGA level of DFT.

CIF file:
```
data_Si2AgBC
_cell_length_a 4.857
_cell_length_b 4.857
_cell_length_c 2.860
_cell_angle_alpha 90.00
_cell_angle_beta 90.00
_cell_angle_gamma 90.00
_space_group_name_H-M_alt 'P 4/m m m'
_space_group_IT_number 123
_space_group_name_Hall '-P 4 2'
loop_
_atom_site_label
_atom_site_fract_x
_atom_site_fract_y
_atom_site_fract_z
Si1 0.000 0.500 0.000
Ag1 0.000 0.000 0.500
B1 0.500 0.500 0.500
C1 0.500 0.500 0.000
```

Calculated values
For the total energy, the calculation gives -5.2883 eV per atom. Its density of states at the Fermi level is 0.311 states/eV per atom.


(2)
Computed, not measured: an optimized crystal structure of Li2NdPt9 at the PBE-GGA level of DFT.

CIF file:
```
data_Li2NdPt9
_cell_length_a 5.3451
_cell_length_b 5.3451
_cell_length_c 26.2428
_cell_angle_alpha 90.00
_cell_angle_beta 90.00
_cell_angle_gamma 120.00
_space_group_name_H-M_alt 'R -3 m'
_space_group_IT_number 166
_space_group_name_Hall '-R 3 2"'
loop_
_atom_site_label
_atom_site_fract_x
_atom_site_fract_y
_atom_site_fract_z
Li1 0.0000 0.0000 0.1464
Nd1 0.0000 0.0000 0.0000
Pt1 0.0000 0.0000 0.3330
Pt2 0.0000 0.0000 0.5000
Pt3 0.0039 0.5019 0.9140
```

Calculated values
For the total energy, the calculation gives -5.7927 eV per atom. Its density of states at the Fermi level is 0.560 states/eV per atom. As for the formation energy from the elements: -6.55 eV/f.u.


(3)
Computed, not measured: an optimized crystal structure of AcDyEr14 at the PBE-GGA level of DFT.

CIF file:
```
data_AcDyEr14
_cell_length_a 11.218
_cell_length_b 7.222
_cell_length_c 12.502
_cell_angle_alpha 90.00
_cell_angle_beta 90.00
_cell_angle_gamma 90.00
_space_group_name_H-M_alt 'A m m 2'
_space_group_IT_number 38
loop_
_space_group_symop_operation_xyz
'x,y,z'
'-x,-y,z'
'-x,y,z'
'x,-y,z'
'x,y+1/2,z+1/2'
'-x,-y+1/2,z+1/2'
'-x,y+1/2,z+1/2'
'x,-y+1/2,z+1/2'
loop_
_atom_site_label
_atom_site_fract_x
_atom_site_fract_y
_atom_site_fract_z
Ac1 0.000 0.000 0.000
Dy1 0.000 0.000 0.499
Er1 0.000 0.249 0.251
Er2 0.251 0.000 0.667
Er3 0.255 0.000 0.169
Er4 0.256 0.248 0.417
Er5 0.500 0.000 0.001
Er6 0.500 0.000 0.501
Er7 0.500 0.250 0.251
```

Calculated values
For the total energy, the calculation gives -4.5227 eV per atom. Its density of states at the Fermi level is 1.560 states/eV per atom. As for the formation energy from the elements: 0.23 eV/f.u.


(4)
Computed, not measured: an optimized crystal structure of La3Sb2H at the PBE-GGA level of DFT.

CIF file:
```
data_La3Sb2H
_cell_length_a 8.695
_cell_length_b 4.548
_cell_length_c 17.581
_cell_angle_alpha 90.00
_cell_angle_beta 90.00
_cell_angle_gamma 90.00
_space_group_name_H-M_alt 'P n m a'
_space_group_IT_number 62
loop_
_space_group_symop_operation_xyz
'x,y,z'
'-x,-y,-z'
'-x+1/2,-y,z+1/2'
'x+1/2,y,-z+1/2'
'x+1/2,-y+1/2,-z+1/2'
'-x+1/2,y+1/2,z+1/2'
'-x,y+1/2,-z'
'x,-y+1/2,z'
loop_
_atom_site_label
_atom_site_fract_x
_atom_site_fract_y
_atom_site_fract_z
La1 0.005 0.250 0.107
La2 0.133 0.250 0.568
La3 0.160 0.750 0.278
Sb1 0.118 0.750 0.708
Sb2 0.237 0.250 0.957
H1 0.117 0.750 0.136
```

Calculated values
For the total energy, the calculation gives -5.4267 eV per atom. Its energy above the lowest structure with this stoichiometry is 0 meV/atom. Its density of states at the Fermi level is 0.708 states/eV per atom.